(1)
The following is a SCAN calculation of a crystal of BaTeMo2 relaxed with PBEsol, from Alexandria.

a = 4.976 Å, b = 4.992 Å, c = 4.976 Å
α = 60.11°, β = 90.00°, γ = 119.89°
Sites, in units of the cell vectors:
Mo 0.000 0.000 0.000
Mo 0.250 0.500 0.250
Ba 0.750 0.500 0.750
Te 0.500 0.000 0.500

Calculated values
* formation energy from raw total energies: 4.36 eV per formula unit
* final energy: -35.5530 eV per atom


(2)
The following is a SCAN calculation of a crystal of Ba2TeMo relaxed with PBEsol, from Alexandria.

a = 3.772 Å, b = 5.676 Å, c = 6.547 Å
α = 107.95°, β = 106.74°, γ = 90.00°
Sites, in units of the cell vectors:
Mo 0.448 0.494 0.897
Ba 0.029 0.060 0.057
Ba 0.227 0.698 0.454
Te 0.796 0.248 0.592

Calculated values
* formation energy from raw total energies: 0.11 eV per formula unit
* final energy: -37.7811 eV per atom


(3)
The following is a SCAN calculation of a crystal of BaTeMo2 relaxed with PBEsol, from Alexandria.

a = 3.523 Å, b = 5.239 Å, c = 5.958 Å
α = 100.49°, β = 90.00°, γ = 109.65°
Sites, in units of the cell vectors:
Te 0.000 0.000 0.500
Mo 0.734 0.468 0.631
Mo 0.266 0.532 0.369
Ba 0.500 0.000 0.000

Calculated values
* formation energy from raw total energies: 1.71 eV per formula unit
* final energy: -36.2163 eV per atom


(4)
The following is a SCAN calculation of a crystal of BaTe3Mo relaxed with PBEsol, from Alexandria.

a = 5.375 Å, b = 5.375 Å, c = 5.375 Å
α = 90.00°, β = 90.00°, γ = 90.00°
Sites, in units of the cell vectors:
Mo 0.000 0.000 0.000
Te 0.000 0.000 0.500
Te 0.500 0.000 0.000
Te 0.000 0.500 0.000
Ba 0.500 0.500 0.500

Calculated values
* formation energy from raw total energies: -2.56 eV per formula unit
* final energy: -37.7490 eV per atom


(5)
The following is a SCAN calculation of a crystal of BaTeMo2 relaxed with PBEsol, from Alexandria.

a = 3.092 Å, b = 5.651 Å, c = 5.809 Å
α = 118.31°, β = 104.11°, γ = 92.64°
Sites, in units of the cell vectors:
Te 0.500 0.500 0.000
Mo 0.000 0.000 0.500
Mo 0.500 0.500 0.500
Ba 0.000 0.000 0.000

Calculated values
* formation energy from raw total energies: 4.82 eV per formula unit
* final energy: -35.4382 eV per atom


(6)
The following is a SCAN calculation of a crystal of BaTe2Mo relaxed with PBEsol, from Alexandria.

a = 5.215 Å, b = 5.215 Å, c = 5.215 Å
α = 60.00°, β = 60.00°, γ = 60.00°
Sites, in units of the cell vectors:
Te 0.250 0.250 0.250
Te 0.750 0.750 0.750
Ba 0.000 0.000 0.000
Mo 0.500 0.500 0.500

Calculated values
* relative energy among the computed polymorphs: 548 meV per atom
* formation energy from raw total energies: -0.21 eV per formula unit
* final energy: -37.2859 eV per atom


(7)
The following is a SCAN calculation of a crystal of Ba2TeMo relaxed with PBEsol, from Alexandria.

a = 4.852 Å, b = 4.852 Å, c = 6.902 Å
α = 90.00°, β = 90.00°, γ = 90.00°
Sites, in units of the cell vectors:
Te 0.500 0.500 0.875
Ba 0.500 0.500 0.375
Ba 0.000 0.000 0.875
Mo 0.000 0.000 0.375

Calculated values
* formation energy from raw total energies: 0.23 eV per formula unit
* final energy: -37.7515 eV per atom


(8)
The following is a SCAN calculation of a crystal of BaTeMo2 relaxed with PBEsol, from Alexandria.

a = 3.726 Å, b = 3.726 Å, c = 6.966 Å
α = 90.00°, β = 90.00°, γ = 90.00°
Sites, in units of the cell vectors:
Mo 0.000 0.000 0.838
Mo 0.000 0.000 0.162
Te 0.500 0.500 0.000
Ba 0.500 0.500 0.500

Calculated values
* formation energy from raw total energies: 2.95 eV per formula unit
* final energy: -35.9045 eV per atom


(9)
The following is a SCAN calculation of a crystal of BaTe2Mo relaxed with PBEsol, from Alexandria.

a = 4.355 Å, b = 4.355 Å, c = 7.475 Å
α = 73.06°, β = 73.06°, γ = 60.00°
Sites, in units of the cell vectors:
Te 0.272 0.272 0.183
Te 0.728 0.728 0.817
Ba 0.500 0.500 0.500
Mo 0.000 0.000 0.000

Calculated values
* relative energy among the computed polymorphs: 0 meV per atom
* formation energy from raw total energies: -2.40 eV per formula unit
* final energy: -37.8340 eV per atom


(10)
The following is a SCAN calculation of a crystal of Ba2TiMo relaxed with PBEsol, from Alexandria.

a = 5.485 Å, b = 5.485 Å, c = 5.485 Å
α = 60.00°, β = 60.00°, γ = 60.00°
Sites, in units of the cell vectors:
Ba 0.250 0.250 0.250
Ba 0.750 0.750 0.750
Ti 0.000 0.000 0.000
Mo 0.500 0.500 0.500

Calculated values
* energy of formation from the pure elements: 1.164 eV/atom
* final energy: -31.3400 eV per atom


(11)
The following is a SCAN calculation of a crystal of Ba2Ti2Mo relaxed with PBEsol, from Alexandria.

a = 4.172 Å, b = 4.172 Å, c = 7.841 Å
α = 105.43°, β = 105.43°, γ = 90.00°
Sites, in units of the cell vectors:
Ti 0.571 0.571 0.143
Ti 0.429 0.429 0.857
Mo 0.000 0.000 0.000
Ba 0.250 0.750 0.500
Ba 0.750 0.250 0.500

Calculated values
* energy of formation from the pure elements: 1.560 eV/atom
* final energy: -27.6490 eV per atom


(12)
The following is a SCAN calculation of a crystal of BaY2TiMo relaxed with PBEsol, from Alexandria.

a = 4.765 Å, b = 5.569 Å, c = 5.569 Å
α = 90.00°, β = 90.00°, γ = 90.00°
Sites, in units of the cell vectors:
Mo 0.000 0.000 0.000
Y 0.000 0.000 0.500
Y 0.000 0.500 0.000
Ti 0.500 0.000 0.000
Ba 0.500 0.500 0.500

Calculated values
* energy of formation from the pure elements: 0.446 eV/atom
* final energy: -28.7837 eV per atom